# 1
The following is a DFT calculation (GGA-PBE) of an optimized crystal structure of TcClF2.

Computed properties:
The uncorrected formation energy is -719 meV per atom. The calculation puts the volume at 73.6 Å³/f.u. The value obtained for the density is 3.87 g/cm3.

abc: 4.6830 4.6830 13.4255
angles: 90.00 90.00 90.00
Space group I4_1/amd (No. 141, origin choice 2)
One atom of each set of equivalent atoms:
Tc 0.0000 0.2500 0.3750 [4 per cell]
Cl 0.0000 0.2500 0.8750 [4 per cell]
F 0.0000 0.0000 0.5000 [8 per cell]

***

# 2
The following is a DFT calculation (GGA-PBE) of an optimized crystal structure of TcClF3.

Computed properties:
The uncorrected formation energy is -1631 meV per atom. The calculation puts the volume at 89.9 Å³/f.u. The value obtained for the density is 3.52 g/cm3.

abc: 7.4135 7.9728 6.0870
angles: 90.00 91.44 90.00
Space group C2/m (No. 12)
One atom of each set of equivalent atoms:
Tc 0.0005 0.0000 0.2304 [4 per cell]
Cl 0.0000 0.2313 0.0000 [4 per cell]
F 0.0000 0.1570 0.5000 [4 per cell]
F 0.2415 0.5000 0.7484 [4 per cell]
F 0.2426 0.5000 0.2383 [4 per cell]

***

# 3
The following is a DFT calculation (GGA-PBE) of an optimized crystal structure of TcClF3.

Computed properties:
The uncorrected formation energy is -1568 meV per atom. The calculation puts the volume at 96.0 Å³/f.u. The value obtained for the density is 3.30 g/cm3.

abc: 6.8196 8.7367 6.4417
angles: 90.00 90.00 90.00
Space group Cmcm (No. 63)
One atom of each set of equivalent atoms:
Tc 0.0000 0.0066 0.2500 [4 per cell]
Cl 0.0000 0.2655 0.2500 [4 per cell]
F 0.0000 0.2128 0.7500 [4 per cell]
F 0.1845 0.0000 0.0000 [8 per cell]

***

# 4
The following is a DFT calculation (GGA-PBE) of an optimized crystal structure of TcCl3F6.

Computed properties:
The uncorrected formation energy is -1281 meV per atom. The calculation puts the volume at 230.7 Å³/f.u. The value obtained for the density is 2.29 g/cm3.

abc: 11.4464 7.2487 5.5902
angles: 90.00 95.81 90.00
Space group C2/m (No. 12)
One atom of each set of equivalent atoms:
Tc 0.0000 0.0000 0.0000 [2 per cell]
Cl 0.0000 0.5000 0.5000 [2 per cell]
Cl 0.1753 0.5000 0.3774 [4 per cell]
F 0.0775 0.0000 0.3097 [4 per cell]
F 0.1023 0.1816 0.9089 [8 per cell]

***

What is the volume in the third record? 96.0 Å³/f.u.

***

The highest volume belongs to which entry? TcCl3F6

***

Which formula does entry 3 have? TcClF3

***

The highest volume belongs to which entry? TcCl3F6